[1]
MnV4Ru after structural relaxation, computed with PBE.

Cell: 4.177 8.952 4.157 Å, 90.00 90.00 90.00°
Space group Cmmm (No. 65)
Unique sites:
Mn1 0.000 0.000 0.000 [2 per cell]
V1 0.000 0.165 0.500 [4 per cell]
V2 0.000 0.334 0.000 [4 per cell]
Ru1 0.000 0.500 0.500 [2 per cell]

Polymorph energy (0 for the lowest one) ... 0.0000 eV per atom
Mass density ... 7687 kg/m³
M_tot ... 0.000 μB per atom
Calculated total energy ... -9.425 eV/atom
DFT formation energy ... -0.272 eV/atom
N(E_F) ... 5.8 states/eV/cell
Volume ... 77.7 Å³/f.u.

[2]
MnV6Ru after structural relaxation, computed with PBE.

Cell: 4.177 5.939 8.381 Å, 90.00 90.00 90.00°
Space group Amm2 (No. 38)
Unique sites:
Mn1 0.000 0.000 0.000 [2 per cell]
V1 0.000 0.000 0.494 [2 per cell]
V2 0.000 0.246 0.247 [4 per cell]
V3 0.500 0.000 0.249 [2 per cell]
V4 0.500 0.247 0.998 [4 per cell]
Ru1 0.500 0.000 0.748 [2 per cell]

Mass density ... 7374 kg/m³
M_tot ... 0.000 μB per atom
Calculated total energy ... -9.368 eV/atom
DFT formation energy ... -0.223 eV/atom
N(E_F) ... 13.3 states/eV/cell
Volume ... 104.0 Å³/f.u.

[3]
MnVRu2 after structural relaxation, computed with PBE.

Cell: 3.743 3.743 16.795 Å, 90.00 90.00 90.00°
Space group I-42d (No. 122)
Unique sites:
Mn1 0.000 0.000 0.000 [4 per cell]
V1 0.000 0.000 0.500 [4 per cell]
Ru1 0.237 0.250 0.125 [8 per cell]

Mass density ... 8696 kg/m³
M_tot ... 0.253 μB per atom
Calculated total energy ... -8.669 eV/atom
DFT formation energy ... 0.541 eV/atom
N(E_F) ... 18.7 states/eV/cell
Volume ... 58.8 Å³/f.u.

Among the records above, which one has the highest mass density?
MnVRu2

Which value of M_tot does entry 2 give?
0.000 μB per atom

What did the first record say?
MnV4Ru after structural relaxation, computed with PBE.

Cell: 4.177 8.952 4.157 Å, 90.00 90.00 90.00°
Space group Cmmm (No. 65)
Unique sites:
Mn1 0.000 0.000 0.000 [2 per cell]
V1 0.000 0.165 0.500 [4 per cell]
V2 0.000 0.334 0.000 [4 per cell]
Ru1 0.000 0.500 0.500 [2 per cell]

Polymorph energy (0 for the lowest one) ... 0.0000 eV per atom
Mass density ... 7687 kg/m³
M_tot ... 0.000 μB per atom
Calculated total energy ... -9.425 eV/atom
DFT formation energy ... -0.272 eV/atom
N(E_F) ... 5.8 states/eV/cell
Volume ... 77.7 Å³/f.u.

The highest volume belongs to which entry?
MnV6Ru